[1]
Pr3Zn2GaPd9 | PBE | optimized geometry

Cell lengths 7.322, 7.322, 6.749 Å; angles 90.00, 90.00, 120.00 degrees
Fractional coordinates of all 15 atoms:
Zn 0.667 0.333 0.833
Pr 0.333 0.667 0.669
Pd 0.834 0.668 0.666
Pd 0.500 0.500 0.000
Pd 0.834 0.166 0.666
Pd 0.332 0.166 0.666
Pr 0.667 0.333 0.331
Zn 0.333 0.667 0.167
Ga 0.000 0.000 0.500
Pd 0.500 0.000 0.000
Pd 0.166 0.834 0.334
Pd 0.668 0.834 0.334
Pr 0.000 0.000 0.000
Pd 0.000 0.500 0.000
Pd 0.166 0.332 0.334

E in eV per atom: -4.87
V in Å³ per atom: 20.9
Density of states at the Fermi level in states/eV/f.u.: 7.4
Space-group type: P-3m1, No. 164



[2]
Tb4S | PBE | optimized geometry

Cell lengths 5.326, 5.326, 5.326 Å; angles 90.00, 90.00, 90.00 degrees
Fractional coordinates of all 5 atoms:
Tb 0.500 0.500 0.000
Tb 0.000 0.000 0.000
Tb 0.000 0.500 0.500
Tb 0.500 0.000 0.500
S 0.500 0.500 0.500

V in Å³ per atom: 30.2
E_form (uncorrected) in eV/atom: -0.66
Density of states at the Fermi level in states/eV/f.u.: 7.3
Space-group type: Pm-3m, No. 221



[3]
Rh2SeNCl | PBE | optimized geometry

Cell lengths 3.880, 5.816, 3.880 Å; angles 90.00, 90.00, 90.00 degrees
Fractional coordinates of all 5 atoms:
N 0.000 0.000 0.000
Cl 0.000 0.500 0.000
Se 0.500 0.500 0.500
Rh 0.500 0.000 0.000
Rh 0.000 0.000 0.500

V in Å³ per atom: 17.5
E_form (uncorrected) in eV/atom: 0.64
Density of states at the Fermi level in states/eV/f.u.: 3.8
Space-group type: P4/mmm, No. 123